1.
Compound: Al2Te2Cl7
Source: Alexandria via LeMat-Bulk
Functional: PBEsol
Structure: relaxed

The structure in extended XYZ format:
```
44
Lattice="9.1844 0.0000 0.0000 0.0000 11.0753 0.0000 -0.5652 0.0000 13.1423" Properties=species:S:1:pos:R:3 pbc="T T T"
Al 1.0105 2.0034 2.6418
Al 0.7279 3.5343 9.2130
Al 2.1903 6.4085 4.4683
Al 1.9077 10.2044 11.0394
Al 6.7115 0.8709 2.1029
Al 6.4289 4.6668 8.6740
Al 7.8914 7.5410 3.9294
Al 7.6088 9.0719 10.5005
Te 2.4317 6.2907 12.4120
Te 2.7143 10.3223 5.8409
Te 3.7064 1.7429 6.0832
Te 3.4238 3.7947 12.6544
Te 5.1955 7.2806 0.4879
Te 4.9129 9.3324 7.0591
Te 5.9050 0.7530 7.3015
Te 6.1876 4.7846 0.7303
Cl 0.0072 5.8271 4.6746
Cl -0.2754 10.7858 11.2457
Cl 0.0072 1.7838 8.2726
Cl 0.2898 3.7539 1.7014
Cl 0.8074 1.8841 4.7800
Cl 0.5248 3.6536 11.3511
Cl 2.3402 7.9542 3.0334
Cl 2.0576 8.6588 9.6045
Cl 2.6465 7.1228 6.4425
Cl 2.3639 9.4901 13.0136
Cl 2.9407 1.4049 2.0134
Cl 2.6581 4.1328 8.5846
Cl 2.9020 0.9246 10.5263
Cl 3.1846 4.6131 3.9552
Cl 5.4346 6.4622 9.1871
Cl 5.7172 10.1507 2.6160
Cl 5.9612 6.9425 4.5577
Cl 5.6786 9.6704 11.1289
Cl 6.2554 1.5852 0.1287
Cl 5.9728 3.9525 6.6998
Cl 6.5616 2.4165 3.5378
Cl 6.2790 3.1211 10.1089
Cl 8.0944 7.4217 1.7912
Cl 7.8119 9.1912 8.3624
Cl 8.3294 7.3214 11.4409
Cl 8.6120 9.2915 4.8697
Cl 8.8946 0.2895 1.8966
Cl 8.6120 5.2482 8.4678
```

Formation energy (no corrections) = -1144 meV per atom

2.
Compound: AlTeCl7
Source: Alexandria via LeMat-Bulk
Functional: PBEsol
Structure: relaxed

The structure in extended XYZ format:
```
36
Lattice="6.5432 0.0000 0.0000 -1.0039 8.4185 0.0000 -1.4795 -1.4281 19.9292" Properties=species:S:1:pos:R:3 pbc="T T T"
Al 0.6982 3.1199 1.9527
Al 0.0290 6.4672 7.5582
Al 4.0308 0.5232 12.3711
Al 3.3616 3.8705 17.9765
Te -0.1735 5.8784 12.0586
Te 0.1388 0.8559 17.6124
Te 3.9210 6.1344 2.3168
Te 4.2333 1.1120 7.8706
Cl -0.7196 7.1811 3.1517
Cl -0.4533 0.1057 11.8118
Cl -0.4412 2.1286 8.8195
Cl -1.1802 3.4659 17.2389
Cl 0.4803 1.6835 0.3348
Cl -0.9748 5.7926 14.2365
Cl 0.1452 4.8506 6.2252
Cl 1.4869 4.9426 1.0770
Cl 1.8579 -0.1449 6.6741
Cl 1.8806 2.2949 3.4805
Cl 1.0862 1.2916 15.5368
Cl 1.0552 3.9095 12.2462
Cl 1.1426 6.0204 9.3721
Cl 1.3047 -1.1439 17.9024
Cl 2.7551 8.1343 2.0268
Cl 2.9171 0.9700 10.5572
Cl 3.0046 3.0808 7.6830
Cl 2.9735 5.6988 4.3924
Cl 2.1791 4.6955 16.4487
Cl 2.2019 7.1353 13.2551
Cl 2.5729 2.0478 18.8522
Cl 3.9146 2.1398 13.7040
Cl 5.0346 1.1978 5.6927
Cl 3.5795 5.3068 19.5944
Cl 5.2399 3.5245 2.6903
Cl 4.5010 4.8617 11.1097
Cl 4.5130 6.8847 8.1174
Cl 4.7794 -0.1907 16.7775
```

Formation energy (no corrections) = -997 meV per atom
DOS at the Fermi energy = 0.00 states/eV/f.u.

3.
Compound: AlTeCl2
Source: Alexandria via LeMat-Bulk
Functional: PBEsol
Structure: relaxed

The structure in extended XYZ format:
```
4
Lattice="3.1511 -4.3429 0.0000 3.1511 4.3429 0.0000 0.0000 0.0000 3.1637" Properties=species:S:1:pos:R:3 pbc="T T T"
Al 0.0000 0.0000 0.0000
Te 3.1511 0.0000 0.0000
Cl 1.5756 2.1714 1.5818
Cl 1.5756 -2.1714 1.5818
```

Formation energy (no corrections) = -11 meV per atom
Energy relative to the lowest polymorph listed for this composition = 0 meV per atom
DOS at the Fermi energy = 2.05 states/eV/f.u.